Entry from Alexandria via LeMat-Bulk: crystalline ErFe2SnO6 at its relaxed geometry (PBE with a Hubbard U).

Computed properties:
Uncorrected energy: -6.6887 eV/atom

Geometry as POSCAR:
```
ErFe2SnO6
1.0
-3.610 3.854 -0.656
-2.611 0.405 -4.570
-5.489 -1.473 0.002
Er Fe Sn O
1 2 1 6
Cartesian
-8.235 2.545 -4.188
-5.617 1.579 -2.745
-5.391 -1.386 -0.051
-2.253 1.279 -1.655
-4.128 2.153 -1.434
-4.453 0.884 -4.351
-6.236 3.455 -3.466
-7.390 0.612 -3.599
-7.208 1.782 -1.090
-5.619 -0.436 -1.771
```